Record 1
Compound: Y5Si4
Source: the Alexandria database
Functional: PBE
Structure: relaxed

## Properties
Energy above the most stable polymorph in this dataset = 632 meV per atom
Crystal system = tetragonal
E_form (uncorrected) = -0.145 eV per atom
Electronic total energy = -6.15 eV/atom

Lattice parameters (Å, degrees): 6.816 6.816 6.816 98.89 98.89 133.72
Fractional coordinates of all 9 atoms:
Y (0.000, 0.000, 0.000)
Y (0.316, 0.684, 0.000)
Y (0.684, 0.316, 0.000)
Y (0.684, 0.684, 0.369)
Y (0.316, 0.316, 0.631)
Si (0.340, 0.000, 0.340)
Si (0.660, 0.000, 0.660)
Si (0.000, 0.660, 0.660)
Si (0.000, 0.340, 0.340)

=====

Record 2
Compound: BiPAuS
Source: the Alexandria database
Functional: PBE
Structure: relaxed

## Properties
Energy above the most stable polymorph in this dataset = 182 meV per atom
Crystal system = tetragonal
E_form (uncorrected) = 0.135 eV per atom
Electronic total energy = -4.04 eV/atom

Lattice parameters (Å, degrees): 4.001 4.001 5.833 90.00 90.00 90.00
Fractional coordinates of all 4 atoms:
Bi (0.500, 0.500, 0.803)
P (0.000, 0.000, 0.900)
Au (0.500, 0.500, 0.316)
S (0.000, 0.000, 0.257)

=====

Record 3
Compound: Ac3PmPr2Te6
Source: the Alexandria database
Functional: PBE
Structure: relaxed

## Properties
Crystal system = monoclinic
E_form (uncorrected) = -1.459 eV per atom
Electronic total energy = -5.25 eV/atom

Lattice parameters (Å, degrees): 4.599 9.295 10.331 103.16 102.86 90.00
Fractional coordinates of all 12 atoms:
Ac (0.500, 0.500, 0.000)
Ac (0.832, 0.167, 0.664)
Ac (0.168, 0.833, 0.336)
Pm (0.500, 0.000, 0.000)
Pr (0.833, 0.667, 0.666)
Pr (0.167, 0.333, 0.334)
Te (0.338, 0.912, 0.676)
Te (0.669, 0.576, 0.338)
Te (0.662, 0.088, 0.324)
Te (0.002, 0.240, 0.004)
Te (0.998, 0.760, 0.996)
Te (0.331, 0.424, 0.662)